Density functional theory data (PBE-GGA) for a relaxed structure of KSb2MoS.

a = 5.607 Å, b = 5.607 Å, c = 4.479 Å
α = 90.00°, β = 90.00°, γ = 90.00°
Positions (direct):
K  0.000  0.000  0.000
Sb  0.000  0.500  0.500
Sb  0.500  0.000  0.500
Mo  0.500  0.500  0.000
S  0.500  0.500  0.500

Computed properties:
raw formation energy	0.461	eV per atom
D(E_F)	2.97	states/eV/cell
calculated volume	28.16	A^3/atom
magnetic moment	0.274	μB/atom